PBE KLiOs2, optimized geometry; energy of formation from the pure elements = 0.79 eV per atom; offset from the most stable computed form = 0.2757 eV per atom; space-group type = Cmmm (65)
1.0
1.366 -2.313 0.000
1.366 2.313 0.000
0.000 0.000 10.445
K Li Os
1 1 2
direct
0.000 0.000 0.000
0.000 0.000 0.500
0.500 0.500 0.280
0.500 0.500 0.720

***

PBE KLiOs2, optimized geometry; energy of formation from the pure elements = 0.77 eV per atom; offset from the most stable computed form = 0.2560 eV per atom; space-group type = R3m (160)
1.0
1.409 0.813 10.604
-1.409 0.813 10.604
0.000 -1.627 10.604
K Li Os
1 1 2
direct
0.000 0.000 0.000
0.771 0.771 0.771
0.241 0.241 0.241
0.509 0.509 0.509

***

PBE KLiOs2, optimized geometry; energy of formation from the pure elements = 1.12 eV per atom; offset from the most stable computed form = 0.6091 eV per atom; space-group type = I-42d (122)
1.0
-1.945 1.945 10.605
1.945 -1.945 10.605
1.945 1.945 -10.605
K Li Os
2 2 4
direct
0.000 0.000 0.000
0.750 0.250 0.500
0.250 0.750 0.500
0.500 0.500 0.000
0.202 0.625 0.077
0.375 0.452 0.577
0.548 0.125 0.923
0.875 0.798 0.423

***

PBE KLiOs2, optimized geometry; energy of formation from the pure elements = 0.92 eV per atom; offset from the most stable computed form = 0.4023 eV per atom; space-group type = Pmmm (47)
1.0
2.568 0.000 0.000
0.000 4.705 0.000
0.000 0.000 6.950
K Li Os
1 1 2
direct
0.000 0.000 0.000
0.000 0.000 0.500
0.500 0.500 0.335
0.500 0.500 0.665

***

PBE KLiOs2, optimized geometry; energy of formation from the pure elements = 0.59 eV per atom; offset from the most stable computed form = 0.0779 eV per atom; space-group type = Cm (8)
1.0
4.226 -1.379 0.000
4.226 1.379 0.000
-0.397 0.000 7.183
K Li Os
1 1 2
direct
0.000 0.000 0.000
0.232 0.232 0.649
0.500 0.500 0.458
0.758 0.758 0.337

***

PBE KLiOs2, optimized geometry; energy of formation from the pure elements = 0.64 eV per atom; offset from the most stable computed form = 0.1211 eV per atom; space-group type = P4mm (99)
1.0
3.043 0.000 0.000
0.000 3.043 0.000
0.000 0.000 8.665
K Li Os
1 1 2
direct
0.000 0.000 0.000
0.500 0.500 0.346
0.000 0.000 0.537
0.500 0.500 0.692

***

offset from the most stable computed form of number 6 (KLiOs2)?
0.1211 eV per atom

***

Which of these has the lowest energy of formation from the pure elements?
number 5